## w
Compound: Li3ReP
Source: Alexandria
Functional: PBE
Structure: optimized geometry

Geometry as POSCAR:
```
Li3ReP
1.0
-0.185 2.412 -4.173
-4.632 1.065 0.821
1.332 4.039 2.276
Li P Re
3 1 1
direct
0.000 0.500 0.000 Li
0.000 0.000 0.500 Li
0.500 0.000 0.000 Li
0.500 0.500 0.500 P
0.000 0.000 0.000 Re
```

M_tot = 2.87 μB/f.u.
Crystal system = cubic
N(E_F) = 2.707 states/eV/atom
Volume = 112 Å³/cell


## x
Compound: Li3ReP
Source: Alexandria
Functional: PBE
Structure: optimized geometry

Geometry as POSCAR:
```
Li3ReP
1.0
4.272 0.000 0.000
0.000 4.272 0.000
0.000 0.000 4.272
Li P Re
3 1 1
direct
0.500 0.000 0.000 Li
0.000 0.500 0.000 Li
0.000 0.000 0.500 Li
0.000 0.000 0.000 P
0.500 0.500 0.500 Re
```

M_tot = 0.00 μB/f.u.
Crystal system = cubic
N(E_F) = 1.125 states/eV/atom
Volume = 78 Å³/cell


Least stable: w